Entry 1:
Here is Ho3HgO after structural relaxation from the Alexandria database. Energies are from PBE.

## Properties
Total magnetic moment ... 0.00 μB per cell
Final energy ... -26.0 eV for the cell shown
Formation energy (no corrections) ... -1.3923 eV/atom

abc: 4.735 4.735 4.735
angles: 90.00 90.00 90.00
Atoms (fractional coordinates):
Ho 0.000 0.000 0.500
Ho 0.000 0.500 0.000
Ho 0.500 0.000 0.000
Hg 0.500 0.500 0.500
O 0.000 0.000 0.000

=====

Entry 2:
Here is CsHgSeBr2 after structural relaxation from the Alexandria database. Energies are from PBE.

## Properties
Total magnetic moment ... 0.92 μB per cell
Final energy ... -11.1 eV for the cell shown
Formation energy (no corrections) ... -0.6252 eV/atom

abc: 5.867 5.867 5.304
angles: 90.00 90.00 90.00
Atoms (fractional coordinates):
Cs 0.000 0.000 0.000
Hg 0.500 0.500 0.500
Se 0.500 0.500 0.000
Br 0.000 0.500 0.500
Br 0.500 0.000 0.500

=====

Entry 3:
Here is As2Cl after structural relaxation from the Alexandria database. Energies are from PBE.

## Properties
Total magnetic moment ... 0.00 μB per cell
Final energy ... -41.7 eV for the cell shown
Distance to the lowest polymorph of the same formula ... 0.5106 eV per atom
Formation energy (no corrections) ... 0.2395 eV/atom

abc: 4.049 22.706 3.519
angles: 90.00 90.00 90.00
Atoms (fractional coordinates):
As 0.000 0.041 0.250
As 0.000 0.259 0.750
As 0.000 0.741 0.250
As 0.000 0.959 0.750
As 0.500 0.241 0.250
As 0.500 0.459 0.750
As 0.500 0.541 0.250
As 0.500 0.759 0.750
Cl 0.000 0.423 0.250
Cl 0.000 0.577 0.750
Cl 0.500 0.077 0.750
Cl 0.500 0.923 0.250

=====

Entry 4:
Here is Mn3Ga2Co3 after structural relaxation from the Alexandria database. Energies are from PBE.

## Properties
Total magnetic moment ... 5.99 μB per cell
Final energy ... -56.1 eV for the cell shown
Energy of formation from the pure elements ... -0.154 eV per atom

abc: 3.960 4.020 6.061
angles: 90.00 90.00 90.00
Atoms (fractional coordinates):
Mn 0.000 0.000 0.000
Mn 0.500 0.000 0.254
Mn 0.500 0.000 0.746
Ga 0.000 0.500 0.259
Ga 0.000 0.500 0.741
Co 0.000 0.000 0.500
Co 0.500 0.500 0.000
Co 0.500 0.500 0.500

=====

Entry 5:
Here is Tm4PdRu2 after structural relaxation from the Alexandria database. Energies are from PBE.

## Properties
Total magnetic moment ... 0.00 μB per cell
Final energy ... -45.4 eV for the cell shown
Distance to the lowest polymorph of the same formula ... 0.0000 eV per atom
Energy of formation from the pure elements ... -0.545 eV per atom

abc: 4.756 4.756 6.781
angles: 90.00 90.00 90.00
Atoms (fractional coordinates):
Tm 0.000 0.500 0.247
Tm 0.000 0.500 0.753
Tm 0.500 0.000 0.247
Tm 0.500 0.000 0.753
Pd 0.000 0.000 0.500
Ru 0.000 0.000 0.000
Ru 0.500 0.500 0.500

=====

Entry 6:
Here is Ho4MgAg3 after structural relaxation from the Alexandria database. Energies are from PBE.

## Properties
Total magnetic moment ... 0.00 μB per cell
Final energy ... -30.0 eV for the cell shown
Distance to the lowest polymorph of the same formula ... 0.0548 eV per atom
Energy of formation from the pure elements ... -0.197 eV per atom

abc: 3.573 4.856 11.516
angles: 90.00 90.00 90.00
Atoms (fractional coordinates):
Ho 0.000 0.000 0.000
Ho 0.000 0.500 0.289
Ho 0.500 0.000 0.479
Ho 0.500 0.500 0.808
Mg 0.000 0.000 0.713
Ag 0.000 0.500 0.567
Ag 0.500 0.000 0.218
Ag 0.500 0.500 0.071

=====

Entry 7:
Here is Pa3As2N after structural relaxation from the Alexandria database. Energies are from PBE.

## Properties
Total magnetic moment ... 2.59 μB per cell
Final energy ... -103.1 eV for the cell shown
Formation energy (no corrections) ... -0.9036 eV/atom

abc: 6.620 6.620 5.876
angles: 90.00 90.00 76.89
Atoms (fractional coordinates):
Pa 0.145 0.855 0.750
Pa 0.328 0.328 0.000
Pa 0.328 0.328 0.500
Pa 0.672 0.672 0.000
Pa 0.672 0.672 0.500
Pa 0.855 0.145 0.250
As 0.053 0.681 0.250
As 0.319 0.947 0.250
As 0.681 0.053 0.750
As 0.947 0.319 0.750
N 0.419 0.581 0.750
N 0.581 0.419 0.250

=====

Entry 8:
Here is Pr8Y4Er3 after structural relaxation from the Alexandria database. Energies are from PBE.

## Properties
Total magnetic moment ... 0.00 μB per cell
Final energy ... -72.9 eV for the cell shown
Energy of formation from the pure elements ... 0.326 eV per atom

abc: 9.256 9.256 6.950
angles: 110.68 110.68 83.02
Atoms (fractional coordinates):
Pr 0.203 0.203 0.176
Pr 0.205 0.795 0.000
Pr 0.253 0.747 0.500
Pr 0.255 0.255 0.709
Pr 0.745 0.745 0.291
Pr 0.747 0.253 0.500
Pr 0.795 0.205 0.000
Pr 0.797 0.797 0.824
Y 0.000 0.500 0.000
Y 0.500 0.000 0.000
Y 0.500 0.500 0.000
Y 0.500 0.500 0.500
Er 0.000 0.000 0.500
Er 0.000 0.500 0.500
Er 0.500 0.000 0.500

=====

Entry 9:
Here is AlSb3P after structural relaxation from the Alexandria database. Energies are from PBE.

## Properties
Total magnetic moment ... 0.00 μB per cell
Final energy ... -17.1 eV for the cell shown
Distance to the lowest polymorph of the same formula ... 0.2271 eV per atom
Formation energy (no corrections) ... 0.8849 eV/atom

abc: 5.198 5.198 5.198
angles: 90.00 90.00 90.00
Atoms (fractional coordinates):
Al 0.000 0.000 0.000
Sb 0.000 0.000 0.500
Sb 0.000 0.500 0.000
Sb 0.500 0.000 0.000
P 0.500 0.500 0.500

=====

Entry 10:
Here is Sr4BeAl after structural relaxation from the Alexandria database. Energies are from PBE.

## Properties
Total magnetic moment ... 0.00 μB per cell
Final energy ... -8.7 eV for the cell shown
Energy of formation from the pure elements ... 0.913 eV per atom

abc: 7.012 7.012 7.012
angles: 60.00 60.00 60.00
Atoms (fractional coordinates):
Sr 0.125 0.125 0.125
Sr 0.125 0.125 0.626
Sr 0.125 0.626 0.125
Sr 0.626 0.125 0.125
Be 0.500 0.500 0.500
Al 0.750 0.750 0.750

=====

Entry 11:
Here is Ba2ZrP4 after structural relaxation from the Alexandria database. Energies are from PBE.

## Properties
Total magnetic moment ... 0.00 μB per cell
Final energy ... -77.0 eV for the cell shown
Energy of formation from the pure elements ... -0.636 eV per atom

abc: 5.078 5.078 16.014
angles: 90.00 90.00 90.00
Atoms (fractional coordinates):
Ba 0.000 0.000 0.139
Ba 0.000 0.000 0.861
Ba 0.500 0.500 0.361
Ba 0.500 0.500 0.639
Zr 0.000 0.000 0.500
Zr 0.500 0.500 0.000
P 0.000 0.000 0.340
P 0.000 0.000 0.660
P 0.000 0.500 0.000
P 0.000 0.500 0.500
P 0.500 0.000 0.000
P 0.500 0.000 0.500
P 0.500 0.500 0.160
P 0.500 0.500 0.840

=====

Entry 12:
Here is BaGaGe2 after structural relaxation from the Alexandria database. Energies are from PBE.

## Properties
Total magnetic moment ... 0.00 μB per cell
Final energy ... -46.1 eV for the cell shown
Distance to the lowest polymorph of the same formula ... 0.0000 eV per atom
Energy of formation from the pure elements ... -0.295 eV per atom

abc: 4.578 4.578 17.523
angles: 90.00 90.00 120.00
Atoms (fractional coordinates):
Ba 0.000 0.000 0.000
Ba 0.333 0.667 0.667
Ba 0.667 0.333 0.333
Ga 0.000 0.000 0.500
Ga 0.333 0.667 0.167
Ga 0.667 0.333 0.833
Ge 0.000 0.000 0.207
Ge 0.000 0.000 0.793
Ge 0.333 0.667 0.460
Ge 0.333 0.667 0.873
Ge 0.667 0.333 0.127
Ge 0.667 0.333 0.540

=====

Entry 13:
Here is MnZn2In after structural relaxation from the Alexandria database. Energies are from PBE.

## Properties
Total magnetic moment ... 5.59 μB per cell
Final energy ... -27.7 eV for the cell shown
Energy of formation from the pure elements ... 0.156 eV per atom

abc: 3.940 3.940 8.401
angles: 90.00 90.00 90.00
Atoms (fractional coordinates):
Mn 0.000 0.000 0.000
Mn 0.500 0.500 0.500
Zn 0.000 0.500 0.250
Zn 0.000 0.500 0.750
Zn 0.500 0.000 0.250
Zn 0.500 0.000 0.750
In 0.000 0.000 0.500
In 0.500 0.500 0.000

=====

Entry 14:
Here is TbCe2NdTe5 after structural relaxation from the Alexandria database. Energies are from PBE.

## Properties
Total magnetic moment ... 3.43 μB per cell
Final energy ... -44.5 eV for the cell shown
Formation energy (no corrections) ... -0.8373 eV/atom

abc: 5.541 5.541 11.809
angles: 90.00 90.00 90.00
Atoms (fractional coordinates):
Tb 0.000 0.000 0.000
Ce 0.500 0.500 0.172
Ce 0.500 0.500 0.828
Nd 0.000 0.000 0.500
Te 0.000 0.000 0.251
Te 0.000 0.000 0.749
Te 0.000 0.500 0.000
Te 0.500 0.000 0.000
Te 0.500 0.500 0.500

=====

Entry 15:
Here is HoSiAg after structural relaxation from the Alexandria database. Energies are from PBE.

## Properties
Total magnetic moment ... 0.00 μB per cell
Final energy ... -58.0 eV for the cell shown
Formation energy (no corrections) ... -0.5529 eV/atom

abc: 4.090 15.916 3.731
angles: 90.00 90.00 90.00
Atoms (fractional coordinates):
Ho 0.000 0.099 0.250
Ho 0.000 0.901 0.750
Ho 0.500 0.401 0.750
Ho 0.500 0.599 0.250
Si 0.000 0.454 0.250
Si 0.000 0.546 0.750
Si 0.500 0.046 0.750
Si 0.500 0.954 0.250
Ag 0.000 0.289 0.250
Ag 0.000 0.711 0.750
Ag 0.500 0.211 0.750
Ag 0.500 0.789 0.250

=====

Entry 16:
Here is ZrTaIn2 after structural relaxation from the Alexandria database. Energies are from PBE.

## Properties
Total magnetic moment ... 0.00 μB per cell
Final energy ... -51.3 eV for the cell shown
Distance to the lowest polymorph of the same formula ... 0.0875 eV per atom
Energy of formation from the pure elements ... 0.058 eV per atom

abc: 11.384 3.089 5.360
angles: 90.00 115.77 90.00
Atoms (fractional coordinates):
Zr 0.000 0.000 0.000
Zr 0.500 0.500 0.000
Ta 0.246 0.500 0.075
Ta 0.746 0.000 0.075
In 0.246 0.000 0.579
In 0.490 0.000 0.495
In 0.746 0.500 0.579
In 0.990 0.500 0.495

=====

Entry 17:
Here is AlCdTc3 after structural relaxation from the Alexandria database. Energies are from PBE.

## Properties
Total magnetic moment ... 7.83 μB per cell
Final energy ... -23.8 eV for the cell shown
Distance to the lowest polymorph of the same formula ... 1.1082 eV per atom
Energy of formation from the pure elements ... 2.383 eV per atom

abc: 4.929 4.929 4.929
angles: 90.00 90.00 90.00
Atoms (fractional coordinates):
Al 0.000 0.000 0.000
Cd 0.500 0.500 0.500
Tc 0.000 0.500 0.500
Tc 0.500 0.000 0.500
Tc 0.500 0.500 0.000

=====

Entry 18:
Here is NdSm2AlO after structural relaxation from the Alexandria database. Energies are from PBE.

## Properties
Total magnetic moment ... 0.00 μB per cell
Final energy ... -29.6 eV for the cell shown
Formation energy (no corrections) ... -1.3335 eV/atom

abc: 4.854 4.854 4.941
angles: 90.00 90.00 90.00
Atoms (fractional coordinates):
Nd 0.000 0.000 0.000
Sm 0.000 0.500 0.500
Sm 0.500 0.000 0.500
Al 0.500 0.500 0.000
O 0.000 0.000 0.500

=====

Entry 19:
Here is NaInAs2 after structural relaxation from the Alexandria database. Energies are from PBE.

## Properties
Total magnetic moment ... 0.00 μB per cell
Final energy ... -55.1 eV for the cell shown
Energy of formation from the pure elements ... -0.105 eV per atom

abc: 7.919 7.919 6.073
angles: 90.00 90.00 90.00
Atoms (fractional coordinates):
Na 0.000 0.000 0.000
Na 0.000 0.500 0.250
Na 0.500 0.000 0.750
Na 0.500 0.500 0.500
In 0.000 0.000 0.500
In 0.000 0.500 0.750
In 0.500 0.000 0.250
In 0.500 0.500 0.000
As 0.215 0.250 0.625
As 0.250 0.715 0.875
As 0.250 0.785 0.375
As 0.285 0.250 0.125
As 0.715 0.750 0.125
As 0.750 0.215 0.375
As 0.750 0.285 0.875
As 0.785 0.750 0.625

=====

Entry 20:
Here is I5Br3 after structural relaxation from the Alexandria database. Energies are from PBE.

## Properties
Total magnetic moment ... 0.00 μB per cell
Final energy ... -25.4 eV for the cell shown
Formation energy (no corrections) ... 0.0111 eV/atom

abc: 7.801 9.322 13.665
angles: 75.19 78.19 78.78
Atoms (fractional coordinates):
I 0.000 0.000 0.000
I 0.001 0.455 0.456
I 0.093 0.422 0.803
I 0.203 0.928 0.289
I 0.297 0.420 0.294
I 0.403 0.548 0.771
I 0.607 0.951 0.506
I 0.671 0.653 0.032
I 0.701 0.945 0.289
I 0.805 0.219 0.474
Br 0.176 0.774 0.479
Br 0.230 0.099 0.086
Br 0.493 0.950 0.705
Br 0.593 0.382 0.143
Br 0.764 0.469 0.743
Br 0.765 0.919 0.909

=====

Entry 21:
Here is HoTc4Mo after structural relaxation from the Alexandria database. Energies are from PBE.

## Properties
Total magnetic moment ... 0.00 μB per cell
Final energy ... -56.4 eV for the cell shown
Energy of formation from the pure elements ... 0.086 eV per atom

abc: 5.235 5.235 5.235
angles: 60.00 60.00 60.00
Atoms (fractional coordinates):
Ho 0.000 0.000 0.000
Tc 0.375 0.375 0.375
Tc 0.375 0.375 0.875
Tc 0.375 0.875 0.375
Tc 0.875 0.375 0.375
Mo 0.750 0.750 0.750

=====

Entry 22:
Here is AcGa4Ir after structural relaxation from the Alexandria database. Energies are from PBE.

## Properties
Total magnetic moment ... 0.00 μB per cell
Final energy ... -57.0 eV for the cell shown
Distance to the lowest polymorph of the same formula ... 0.0000 eV per atom
Energy of formation from the pure elements ... -0.572 eV per atom

abc: 8.546 8.546 6.808
angles: 90.00 90.00 150.15
Atoms (fractional coordinates):
Ac 0.119 0.881 0.750
Ac 0.881 0.119 0.250
Ga 0.072 0.928 0.250
Ga 0.312 0.688 0.555
Ga 0.312 0.688 0.945
Ga 0.500 0.500 0.000
Ga 0.500 0.500 0.500
Ga 0.688 0.312 0.055
Ga 0.688 0.312 0.445
Ga 0.928 0.072 0.750
Ir 0.222 0.778 0.250
Ir 0.778 0.222 0.750